Here is an optimized crystal structure of EuHo2Sc from Alexandria via LeMat-Bulk. Energies are from PBE-GGA.

Cell lengths 4.953, 4.953, 4.999 Å; angles 90.00, 90.00, 90.00 degrees
Fractional positions:
Eu (0.000, 0.000, 0.000)
Ho (0.000, 0.500, 0.500)
Ho (0.500, 0.000, 0.500)
Sc (0.500, 0.500, 0.000)

## Properties
E ... -6.3072 eV/atom
Formation energy ... 0.13 eV per atom
ΔE to the lowest computed polymorph ... 0.053 eV/atom
N(E_F) ... 1.6920 states/eV/atom
Symmetry ... P4/mmm
Density ... 7.1 Mg/m³

***

Here is an optimized crystal structure of TbEuHoSc from Alexandria via LeMat-Bulk. Energies are from PBE-GGA.

Cell lengths 5.607, 5.607, 5.607 Å; angles 60.00, 60.00, 60.00 degrees
Fractional positions:
Tb (0.000, 0.000, 0.000)
Eu (0.750, 0.750, 0.750)
Ho (0.500, 0.500, 0.500)
Sc (0.250, 0.250, 0.250)

## Properties
E ... -6.2759 eV/atom
Formation energy ... 0.18 eV per atom
N(E_F) ... 1.8904 states/eV/atom
Symmetry ... F-43m
Density ... 6.9 Mg/m³